1.
First-principles (PBE) data for P3Rh after structural relaxation, as listed in Alexandria via LeMat-Bulk.

The structure in CIF format:
```
data_P3Rh
_chemical_formula_sum 'P12 Rh4'
_cell_length_a 6.9055
_cell_length_b 6.9055
_cell_length_c 5.6800
_cell_angle_alpha 90.00
_cell_angle_beta 90.00
_cell_angle_gamma 120.00
_symmetry_space_group_name_H-M 'P 1'
_symmetry_Int_Tables_number 1
loop_
_symmetry_equiv_pos_as_xyz
'x,y,z'
loop_
_atom_site_label
_atom_site_fract_x
_atom_site_fract_y
_atom_site_fract_z
P1 0.5000 0.0000 0.0000
P2 0.5000 0.0000 0.5000
P3 0.0000 0.5000 0.0000
P4 0.5000 0.5000 0.0000
P5 0.5000 0.5000 0.5000
P6 0.0000 0.5000 0.5000
P7 0.8337 0.6675 0.2500
P8 0.1663 0.3325 0.7500
P9 0.3325 0.1663 0.2500
P10 0.8337 0.1663 0.2500
P11 0.1663 0.8337 0.7500
P12 0.6675 0.8337 0.7500
Rh1 0.0000 0.0000 0.0000
Rh2 0.0000 0.0000 0.5000
Rh3 0.3333 0.6667 0.2500
Rh4 0.6667 0.3333 0.7500
```

Summary:
M_tot in μB/cell: 0.000
Mass density in Mg/m³: 5.55



2.
First-principles (PBE) data for P3Rh after structural relaxation, as listed in Alexandria via LeMat-Bulk.

The structure in CIF format:
```
data_P3Rh
_chemical_formula_sum 'P3 Rh1'
_cell_length_a 4.1705
_cell_length_b 3.7172
_cell_length_c 3.8197
_cell_angle_alpha 79.37
_cell_angle_beta 90.00
_cell_angle_gamma 90.00
_symmetry_space_group_name_H-M 'P 1'
_symmetry_Int_Tables_number 1
loop_
_symmetry_equiv_pos_as_xyz
'x,y,z'
loop_
_atom_site_label
_atom_site_fract_x
_atom_site_fract_y
_atom_site_fract_z
P1 0.0000 0.0212 0.0447
P2 0.5000 0.7500 0.7500
P3 0.0000 0.4788 0.4553
Rh1 0.5000 0.2500 0.2500
```

Summary:
M_tot in μB/cell: 0.000
Mass density in Mg/m³: 5.59



Name the least stable of them. 2.



1.
First-principles (PBE) data for P3Rh after structural relaxation, as listed in Alexandria via LeMat-Bulk.

The structure in CIF format:
```
data_P3Rh
_chemical_formula_sum 'P3 Rh1'
_cell_length_a 3.1973
_cell_length_b 3.1973
_cell_length_c 6.5694
_cell_angle_alpha 90.00
_cell_angle_beta 90.00
_cell_angle_gamma 120.00
_symmetry_space_group_name_H-M 'P 1'
_symmetry_Int_Tables_number 1
loop_
_symmetry_equiv_pos_as_xyz
'x,y,z'
loop_
_atom_site_label
_atom_site_fract_x
_atom_site_fract_y
_atom_site_fract_z
P1 0.0000 0.0000 0.0021
P2 0.0000 0.0000 0.4979
P3 0.6667 0.3333 0.2500
Rh1 0.6667 0.3333 0.7500
```

Summary:
M_tot in μB/cell: 0.000
Mass density in Mg/m³: 5.59



2.
First-principles (PBE) data for P3Rh after structural relaxation, as listed in Alexandria via LeMat-Bulk.

The structure in CIF format:
```
data_P3Rh
_chemical_formula_sum 'P3 Rh1'
_cell_length_a 3.7411
_cell_length_b 3.7411
_cell_length_c 7.1488
_cell_angle_alpha 60.62
_cell_angle_beta 60.62
_cell_angle_gamma 48.18
_symmetry_space_group_name_H-M 'P 1'
_symmetry_Int_Tables_number 1
loop_
_symmetry_equiv_pos_as_xyz
'x,y,z'
loop_
_atom_site_label
_atom_site_fract_x
_atom_site_fract_y
_atom_site_fract_z
P1 0.5000 0.5000 0.5000
P2 0.1675 0.1675 0.2226
P3 0.8325 0.8325 0.7774
Rh1 0.0000 0.0000 0.0000
```

Summary:
M_tot in μB/cell: 0.000
Mass density in Mg/m³: 5.17



3.
First-principles (PBE) data for P3Rh after structural relaxation, as listed in Alexandria via LeMat-Bulk.

The structure in CIF format:
```
data_P3Rh
_chemical_formula_sum 'P6 Rh2'
_cell_length_a 3.8286
_cell_length_b 4.7017
_cell_length_c 6.9102
_cell_angle_alpha 90.00
_cell_angle_beta 90.00
_cell_angle_gamma 90.00
_symmetry_space_group_name_H-M 'P 1'
_symmetry_Int_Tables_number 1
loop_
_symmetry_equiv_pos_as_xyz
'x,y,z'
loop_
_atom_site_label
_atom_site_fract_x
_atom_site_fract_y
_atom_site_fract_z
P1 0.3748 0.5000 0.0000
P2 0.6252 0.0000 0.5000
P3 0.9371 0.0000 0.7757
P4 0.9371 0.0000 0.2243
P5 0.0629 0.5000 0.2757
P6 0.0629 0.5000 0.7243
Rh1 0.4881 0.0000 0.0000
Rh2 0.5119 0.5000 0.5000
```

Summary:
M_tot in μB/cell: 0.000
Mass density in Mg/m³: 5.23



4.
First-principles (PBE) data for P3Rh after structural relaxation, as listed in Alexandria via LeMat-Bulk.

The structure in CIF format:
```
data_P3Rh
_chemical_formula_sum 'P3 Rh1'
_cell_length_a 2.9496
_cell_length_b 2.9496
_cell_length_c 6.4393
_cell_angle_alpha 90.00
_cell_angle_beta 90.00
_cell_angle_gamma 90.00
_symmetry_space_group_name_H-M 'P 1'
_symmetry_Int_Tables_number 1
loop_
_symmetry_equiv_pos_as_xyz
'x,y,z'
loop_
_atom_site_label
_atom_site_fract_x
_atom_site_fract_y
_atom_site_fract_z
P1 0.0000 0.0000 0.9868
P2 0.5000 0.5000 0.2500
P3 0.0000 0.0000 0.5132
Rh1 0.5000 0.5000 0.7500
```

Summary:
M_tot in μB/cell: 0.000
Mass density in Mg/m³: 5.80



Name the least stable of them. 4.



1.
First-principles (PBE) data for P3Rh4 after structural relaxation, as listed in Alexandria via LeMat-Bulk.

The structure in CIF format:
```
data_P3Rh4
_chemical_formula_sum 'P3 Rh4'
_cell_length_a 4.6796
_cell_length_b 4.6796
_cell_length_c 5.1644
_cell_angle_alpha 90.00
_cell_angle_beta 90.00
_cell_angle_gamma 120.00
_symmetry_space_group_name_H-M 'P 1'
_symmetry_Int_Tables_number 1
loop_
_symmetry_equiv_pos_as_xyz
'x,y,z'
loop_
_atom_site_label
_atom_site_fract_x
_atom_site_fract_y
_atom_site_fract_z
P1 0.0000 0.5000 0.0000
P2 0.5000 0.5000 0.0000
P3 0.5000 0.0000 0.0000
Rh1 0.0000 0.0000 0.2570
Rh2 0.0000 0.0000 0.7430
Rh3 0.6667 0.3333 0.5000
Rh4 0.3333 0.6667 0.5000
```

Summary:
M_tot in μB/cell: 0.002
Mass density in Mg/m³: 8.55



2.
First-principles (PBE) data for P3Rh4 after structural relaxation, as listed in Alexandria via LeMat-Bulk.

The structure in CIF format:
```
data_P3Rh4
_chemical_formula_sum 'P12 Rh16'
_cell_length_a 3.3367
_cell_length_b 10.1182
_cell_length_c 11.7930
_cell_angle_alpha 90.00
_cell_angle_beta 90.00
_cell_angle_gamma 90.00
_symmetry_space_group_name_H-M 'P 1'
_symmetry_Int_Tables_number 1
loop_
_symmetry_equiv_pos_as_xyz
'x,y,z'
loop_
_atom_site_label
_atom_site_fract_x
_atom_site_fract_y
_atom_site_fract_z
P1 0.7500 0.2410 0.3758
P2 0.2500 0.7410 0.1242
P3 0.2500 0.7590 0.6242
P4 0.7500 0.2590 0.8758
P5 0.7500 0.0809 0.1270
P6 0.2500 0.5809 0.3730
P7 0.2500 0.9191 0.8730
P8 0.7500 0.4191 0.6270
P9 0.7500 0.9223 0.3698
P10 0.2500 0.4223 0.1302
P11 0.2500 0.0777 0.6302
P12 0.7500 0.5777 0.8698
Rh1 0.7500 0.8825 0.0281
Rh2 0.2500 0.3825 0.4719
Rh3 0.2500 0.1175 0.9719
Rh4 0.7500 0.6175 0.5281
Rh5 0.7500 0.4309 0.2702
Rh6 0.2500 0.9309 0.2298
Rh7 0.2500 0.5691 0.7298
Rh8 0.7500 0.0691 0.7702
Rh9 0.7500 0.5953 0.0646
Rh10 0.2500 0.0953 0.4354
Rh11 0.2500 0.4047 0.9354
Rh12 0.7500 0.9047 0.5646
Rh13 0.7500 0.7097 0.2969
Rh14 0.2500 0.2097 0.2031
Rh15 0.2500 0.2903 0.7031
Rh16 0.7500 0.7903 0.7969
```

Summary:
M_tot in μB/cell: 0.000
Mass density in Mg/m³: 8.42



Name the least stable of them. 1.



1.
First-principles (PBE) data for PRh4 after structural relaxation, as listed in Alexandria via LeMat-Bulk.

The structure in CIF format:
```
data_PRh4
_chemical_formula_sum 'P1 Rh4'
_cell_length_a 7.0144
_cell_length_b 7.0144
_cell_length_c 7.0144
_cell_angle_alpha 151.35
_cell_angle_beta 151.35
_cell_angle_gamma 40.97
_symmetry_space_group_name_H-M 'P 1'
_symmetry_Int_Tables_number 1
loop_
_symmetry_equiv_pos_as_xyz
'x,y,z'
loop_
_atom_site_label
_atom_site_fract_x
_atom_site_fract_y
_atom_site_fract_z
P1 0.0000 0.0000 0.0000
Rh1 0.7500 0.2500 0.5000
Rh2 0.2500 0.7500 0.5000
Rh3 0.5966 0.5966 0.0000
Rh4 0.4034 0.4034 0.0000
```

Summary:
M_tot in μB/cell: 0.992
Mass density in Mg/m³: 9.28



2.
First-principles (PBE) data for PRh4 after structural relaxation, as listed in Alexandria via LeMat-Bulk.

The structure in CIF format:
```
data_PRh4
_chemical_formula_sum 'P1 Rh4'
_cell_length_a 4.3294
_cell_length_b 4.3294
_cell_length_c 4.3294
_cell_angle_alpha 90.00
_cell_angle_beta 90.00
_cell_angle_gamma 90.00
_symmetry_space_group_name_H-M 'P 1'
_symmetry_Int_Tables_number 1
loop_
_symmetry_equiv_pos_as_xyz
'x,y,z'
loop_
_atom_site_label
_atom_site_fract_x
_atom_site_fract_y
_atom_site_fract_z
P1 0.5000 0.5000 0.5000
Rh1 0.0000 0.0000 0.0000
Rh2 0.5000 0.0000 0.5000
Rh3 0.0000 0.5000 0.5000
Rh4 0.5000 0.5000 0.0000
```

Summary:
M_tot in μB/cell: 0.840
Mass density in Mg/m³: 9.06



Name the least stable of them. 1.



1.
First-principles (PBE) data for P2RuRh after structural relaxation, as listed in Alexandria via LeMat-Bulk.

The structure in CIF format:
```
data_P2RuRh
_chemical_formula_sum 'P2 Ru1 Rh1'
_cell_length_a 7.4708
_cell_length_b 7.4708
_cell_length_c 7.4708
_cell_angle_alpha 23.17
_cell_angle_beta 23.17
_cell_angle_gamma 23.17
_symmetry_space_group_name_H-M 'P 1'
_symmetry_Int_Tables_number 1
loop_
_symmetry_equiv_pos_as_xyz
'x,y,z'
loop_
_atom_site_label
_atom_site_fract_x
_atom_site_fract_y
_atom_site_fract_z
P1 0.0007 0.0007 0.0007
P2 0.2496 0.2496 0.2496
Rh1 0.5129 0.5129 0.5129
Ru1 0.7368 0.7368 0.7368
```

Summary:
M_tot in μB/cell: 0.000
Mass density in Mg/m³: 7.80



2.
First-principles (PBE) data for P2RuRh after structural relaxation, as listed in Alexandria via LeMat-Bulk.

The structure in CIF format:
```
data_P2RuRh
_chemical_formula_sum 'P2 Ru1 Rh1'
_cell_length_a 4.2151
_cell_length_b 4.2151
_cell_length_c 4.2151
_cell_angle_alpha 60.00
_cell_angle_beta 60.00
_cell_angle_gamma 60.00
_symmetry_space_group_name_H-M 'P 1'
_symmetry_Int_Tables_number 1
loop_
_symmetry_equiv_pos_as_xyz
'x,y,z'
loop_
_atom_site_label
_atom_site_fract_x
_atom_site_fract_y
_atom_site_fract_z
Ru1 0.0000 0.0000 0.0000
Rh1 0.5000 0.5000 0.5000
P1 0.2500 0.2500 0.2500
P2 0.7500 0.7500 0.7500
```

Summary:
M_tot in μB/cell: 0.915
Mass density in Mg/m³: 8.34



Name the least stable of them. 2.